[1]
This record from Alexandria describes Dy2S3 after structural relaxation. The functional is PBEsol.

Values from the calculation:
The electronic total energy is -6.75 eV/atom. The formation energy (no corrections) comes out at -205.6 kJ/mol of atoms. The value obtained for the density of states at the Fermi level is 0.000 states/eV/atom. Its spin magnetization is 0.00 μB/cell.

abc: 13.540 13.540 13.540
angles: 144.87 144.87 50.53
Positions (direct):
Dy  0.047  0.153  0.622
Dy  0.166  0.166  0.000
Dy  0.176  0.781  0.878
Dy  0.219  0.097  0.394
Dy  0.256  0.625  0.131
Dy  0.375  0.506  0.631
Dy  0.494  0.125  0.869
Dy  0.531  0.426  0.378
Dy  0.574  0.953  0.106
Dy  0.584  0.084  0.500
Dy  0.703  0.824  0.606
Dy  0.834  0.834  0.000
Dy  0.847  0.469  0.894
Dy  0.875  0.744  0.369
Dy  0.903  0.297  0.122
Dy  0.916  0.416  0.500
S  0.004  0.757  0.894
S  0.073  0.465  0.246
S  0.174  0.927  0.392
S  0.187  0.439  0.094
S  0.189  0.437  0.594
S  0.215  0.323  0.746
S  0.218  0.826  0.754
S  0.243  0.137  0.247
S  0.346  0.093  0.906
S  0.404  0.811  0.247
S  0.507  0.254  0.394
S  0.532  0.785  0.108
S  0.535  0.782  0.608
S  0.561  0.654  0.747
S  0.563  0.157  0.753
S  0.576  0.468  0.254
S  0.677  0.424  0.892
S  0.746  0.140  0.253
S  0.843  0.596  0.406
S  0.860  0.113  0.606
S  0.863  0.110  0.106
S  0.887  0.493  0.747
S  0.890  0.996  0.753
S  0.907  0.813  0.253


[2]
This record from Alexandria describes BaCuAg2Bi after structural relaxation. The functional is PBEsol.

Values from the calculation:
For the energy of formation from the pure elements, the calculation gives -0.060 eV/atom. The electronic total energy is -3.54 eV/atom. The value obtained for the density of states at the Fermi level is 0.485 states/eV/atom. Its spin magnetization is 0.00 μB/cell.

abc: 5.004 5.004 5.135
angles: 90.00 90.00 90.00
Positions (direct):
Ba  0.000  0.000  0.000
Cu  0.500  0.500  0.500
Ag  0.000  0.500  0.500
Ag  0.500  0.000  0.500
Bi  0.500  0.500  0.000


[3]
This record from Alexandria describes AsIrS2Cl after structural relaxation. The functional is PBEsol.

Values from the calculation:
The electronic total energy is -3.89 eV/atom. The formation energy (no corrections) comes out at 120.2 kJ/mol of atoms. The value obtained for the density of states at the Fermi level is 1.360 states/eV/atom. Its spin magnetization is 2.32 μB/cell.

abc: 4.687 4.687 4.538
angles: 90.00 90.00 90.00
Positions (direct):
As  0.000  0.000  0.000
Ir  0.500  0.500  0.500
S  0.000  0.500  0.000
S  0.500  0.000  0.000
Cl  0.000  0.000  0.500


[4]
This record from Alexandria describes Ca2MgTc after structural relaxation. The functional is PBEsol.

Values from the calculation:
For the energy of formation from the pure elements, the calculation gives 0.417 eV/atom. The electronic total energy is -3.90 eV/atom. The value obtained for the density of states at the Fermi level is 0.946 states/eV/atom. Its spin magnetization is 0.88 μB/cell.

abc: 3.509 3.509 8.196
angles: 90.00 90.00 90.00
Positions (direct):
Ca  0.000  0.000  0.000
Ca  0.500  0.500  0.381
Mg  0.000  0.000  0.637
Tc  0.500  0.500  0.772


[5]
This record from Alexandria describes AlZn3 after structural relaxation. The functional is PBEsol.

Values from the calculation:
For the energy of formation from the pure elements, the calculation gives 0.053 eV/atom. The electronic total energy is -2.16 eV/atom. The value obtained for the density of states at the Fermi level is 0.304 states/eV/atom. Its spin magnetization is 0.00 μB/cell.

abc: 2.725 4.883 4.502
angles: 90.00 90.00 90.00
Positions (direct):
Al  0.000  0.000  0.000
Zn  0.000  0.500  0.317
Zn  0.500  0.000  0.500
Zn  0.500  0.500  0.817


[6]
This record from Alexandria describes MnNb2InC after structural relaxation. The functional is PBEsol.

Values from the calculation:
For the energy of formation from the pure elements, the calculation gives 0.857 eV/atom. The electronic total energy is -7.95 eV/atom. The value obtained for the density of states at the Fermi level is 0.852 states/eV/atom. Its spin magnetization is 0.00 μB/cell.

abc: 4.739 4.739 3.616
angles: 90.00 90.00 90.00
Positions (direct):
Mn  0.000  0.000  0.000
Nb  0.000  0.500  0.000
Nb  0.500  0.000  0.000
In  0.500  0.500  0.500
C  0.000  0.000  0.500


[7]
This record from Alexandria describes MgNiRh3 after structural relaxation. The functional is PBEsol.

Values from the calculation:
For the energy of formation from the pure elements, the calculation gives 1.584 eV/atom. The electronic total energy is -4.87 eV/atom. The value obtained for the density of states at the Fermi level is 1.678 states/eV/atom. Its spin magnetization is 3.20 μB/cell.

abc: 4.369 4.369 4.369
angles: 90.00 90.00 90.00
Positions (direct):
Mg  0.000  0.000  0.000
Ni  0.500  0.500  0.500
Rh  0.000  0.000  0.500
Rh  0.000  0.500  0.000
Rh  0.500  0.000  0.000


[8]
This record from Alexandria describes Ba3IrW after structural relaxation. The functional is PBEsol.

Values from the calculation:
For the energy of formation from the pure elements, the calculation gives 1.577 eV/atom. The electronic total energy is -4.44 eV/atom. The value obtained for the density of states at the Fermi level is 2.183 states/eV/atom. Its spin magnetization is 0.48 μB/cell.

abc: 5.630 5.630 5.630
angles: 90.00 90.00 90.00
Positions (direct):
Ba  0.000  0.000  0.500
Ba  0.000  0.500  0.000
Ba  0.500  0.000  0.000
Ir  0.500  0.500  0.500
W  0.000  0.000  0.000